A relaxed ScCdWO6 crystal, computed with GGA+U.

Summary:
Symmetry ... P312 (149)
Total energy ... -6.91 eV per atom

Cell lengths 4.7238, 5.3998, 5.3998 Å; angles 120.00, 90.00, 90.00 degrees
Fractional positions:
1 W 0.5000 0.0000 0.0000
2 Cd 0.0000 0.3333 0.6667
3 Sc 0.5000 0.6667 0.3333
4 O 0.2756 0.3110 0.2956
5 O 0.7244 0.9846 0.2956
6 O 0.7244 0.7044 0.6890
7 O 0.7244 0.3110 0.0154
8 O 0.2756 0.9846 0.6890
9 O 0.2756 0.7044 0.0154